The following is a PBE-GGA calculation of a relaxed structure of TbPmTlNi, from Alexandria.

Summary:
uncorrected energy = -0.16888 hartree per atom
total magnetic moment = 0.001 μB per cell

Cell: 7.3473 7.3473 7.3473 Å, 90.00 90.00 90.00°
Last column: nearest neighbours and their distance in Å.
Space group F-43m (No. 216)
Symmetry-distinct sites (fractional):
Tb1 0.0000 0.0000 0.0000 [4 per cell]  4 Tl 3.18, 4 Ni 3.18
Pm1 0.0000 0.0000 0.5000 [4 per cell]  4 Tl 3.18, 4 Ni 3.18
Tl1 0.2500 0.2500 0.2500 [4 per cell]  4 Tb 3.18, 4 Pm 3.18
Ni1 0.2500 0.2500 0.7500 [4 per cell]  4 Tb 3.18, 4 Pm 3.18

The following is a PBE-GGA calculation of a relaxed structure of La4Pr3Nd2, from Alexandria.

Summary:
excess energy over the best structure of this formula in the dataset = 0.0 meV per atom
total magnetic moment = 0.000 μB per cell

Cell: 15.7620 5.2720 8.2973 Å, 90.00 108.52 90.00°
Last column: nearest neighbours and their distance in Å.
Space group C2/m (No. 12)
Symmetry-distinct sites (fractional):
La1 0.0554 0.0000 0.3323 [4 per cell]  2 Nd 3.71, 4 La 3.71-3.73, 6 Pr 3.71-3.73
La2 0.2228 0.5000 0.3328 [4 per cell]  3 Nd 3.70-3.71, 4 Pr 3.71-3.73, 5 La 3.71-3.73
Pr1 0.0000 0.5000 0.0000 [2 per cell]  2 Pr 3.71, 6 La 3.71, 4 Nd 3.72
Pr2 0.1119 0.5000 0.6684 [4 per cell]  3 Nd 3.69-3.71, 2 Pr 3.71-3.74, 7 La 3.71-3.73
Nd1 0.1668 0.0000 0.0001 [4 per cell]  5 Pr 3.69-3.72, 5 La 3.70-3.71, 2 Nd 3.72

The following is a PBE-GGA calculation of a relaxed structure of Mg2RePb, from Alexandria.

Summary:
uncorrected energy = -0.15718 hartree per atom
total magnetic moment = 0.023 μB per cell

Cell: 3.0599 3.0599 9.1426 Å, 90.00 90.00 90.00°
Last column: nearest neighbours and their distance in Å.
Space group P4mm (No. 99)
Symmetry-distinct sites (fractional):
Mg1 0.0000 0.0000 0.0000 [1 per cell]  4 Re 2.83, 4 Mg 3.06
Mg2 0.5000 0.5000 0.2591 [1 per cell]  8 Mg 3.06-3.21
Re1 0.5000 0.5000 0.8003 [1 per cell]  4 Mg 2.83, 4 Pb 3.02, 4 Re 3.06
Pb1 0.0000 0.0000 0.5692 [1 per cell]  4 Re 3.02, 4 Pb 3.06

The following is a PBE-GGA calculation of a relaxed structure of Tb2InP3Rh12, from Alexandria.

Summary:
uncorrected energy = -0.24823 hartree per atom
total magnetic moment = 0.000 μB per cell

Cell: 8.9200 8.9200 12.9015 Å, 90.00 90.00 120.00°
Last column: nearest neighbours and their distance in Å.
Space group R-3m (No. 166, hexagonal axes)
Symmetry-distinct sites (fractional):
Tb1 0.0000 0.0000 0.1264 [6 per cell]  3 Rh 2.56
In1 0.0000 0.0000 0.5000 [3 per cell]  6 Rh 2.63
P1 0.0000 0.5000 0.0000 [9 per cell]  2 Rh 2.22
Rh1 0.0068 0.5034 0.8281 [18 per cell]  1 P 2.22
Rh2 0.0236 0.5118 0.3813 [18 per cell]  2 P 2.56, 1 Rh 2.71

> Which value of total magnetic moment does entry 2 give?

0.000 μB per cell

What did the fourth record say?
The following is a PBE-GGA calculation of a relaxed structure of Tb2InP3Rh12, from Alexandria.

Summary:
uncorrected energy = -0.24823 hartree per atom
total magnetic moment = 0.000 μB per cell

Cell: 8.9200 8.9200 12.9015 Å, 90.00 90.00 120.00°
Last column: nearest neighbours and their distance in Å.
Space group R-3m (No. 166, hexagonal axes)
Symmetry-distinct sites (fractional):
Tb1 0.0000 0.0000 0.1264 [6 per cell]  3 Rh 2.56
In1 0.0000 0.0000 0.5000 [3 per cell]  6 Rh 2.63
P1 0.0000 0.5000 0.0000 [9 per cell]  2 Rh 2.22
Rh1 0.0068 0.5034 0.8281 [18 per cell]  1 P 2.22
Rh2 0.0236 0.5118 0.3813 [18 per cell]  2 P 2.56, 1 Rh 2.71

> What is the total magnetic moment in the second record?

0.000 μB per cell

> Which value of total magnetic moment does entry 2 give?

0.000 μB per cell